Entry 1:
Crystalline ZrMoSe3 at its relaxed geometry. Source: Alexandria via LeMat-Bulk, functional GGA-PBEsol.

Cell lengths 5.1035, 5.1035, 5.1035 Å; angles 90.00, 90.00, 90.00 degrees
Closest atoms and distances in Å follow each position.
Element x y z (fractional)
Se  0.0000  0.5000  0.0000  2 Zr 2.55
Se  0.0000  0.0000  0.5000  2 Zr 2.55
Se  0.5000  0.0000  0.0000  2 Zr 2.55
Mo  0.5000  0.5000  0.5000  12 Se 3.61
Zr  0.0000  0.0000  0.0000  6 Se 2.55

## Properties
DFT total energy   -6.133 eV per atom
Energy relative to the elements, uncorrected   349 meV per atom
Space-group type   Pm-3m, No. 221



Entry 2:
Crystalline InFe2Ag at its relaxed geometry. Source: Alexandria via LeMat-Bulk, functional GGA-PBEsol.

Cell lengths 4.3788, 4.3788, 4.3788 Å; angles 60.00, 60.00, 60.00 degrees
Closest atoms and distances in Å follow each position.
Element x y z (fractional)
Fe  0.0000  0.0000  0.0000  4 Fe 2.68, 4 In 2.68
Ag  0.5000  0.5000  0.5000  4 In 2.68, 4 Fe 2.68
Fe  0.2500  0.2500  0.2500  4 Ag 2.68, 4 Fe 2.68
In  0.7500  0.7500  0.7500  4 Fe 2.68, 4 Ag 2.68

## Properties
DFT total energy   -5.734 eV per atom
Calculated formation energy   0.32 eV/atom
Space-group type   F-43m, No. 216



Entry 3:
Crystalline Sr2Li at its relaxed geometry. Source: Alexandria via LeMat-Bulk, functional GGA-PBEsol.

Cell lengths 4.7835, 9.6327, 9.6327 Å; angles 120.00, 90.00, 90.00 degrees
Closest atoms and distances in Å follow each position.
Element x y z (fractional)
Sr  0.5000  0.4068  0.4068  5 Li 3.78-3.92, 6 Sr 4.06-4.18
Sr  0.0000  0.7475  0.7475  4 Li 3.41-3.66
Li  0.0000  0.3333  0.6667  9 Sr 3.66-3.78
Sr  0.0000  0.2525  0.0000  4 Li 3.41-3.66
Sr  0.5000  0.5932  0.0000  5 Li 3.78-3.92, 6 Sr 4.06-4.18
Sr  0.0000  0.0000  0.2525  4 Li 3.41-3.66
Sr  0.5000  0.0000  0.5932  5 Li 3.78-3.92, 6 Sr 4.06-4.18
Li  0.0000  0.6667  0.3333  9 Sr 3.66-3.78
Li  0.5000  0.0000  0.0000  6 Sr 3.41

## Properties
DFT total energy   -1.842 eV per atom
Calculated formation energy   0.04 eV/atom
Distance to the lowest polymorph of the same formula   19 meV/atom
Space-group type   P-62m, No. 189



Entry 4:
Crystalline BaBiO3 at its relaxed geometry. Source: Alexandria via LeMat-Bulk, functional GGA-PBEsol.

Cell lengths 6.1448, 6.1448, 6.1736 Å; angles 90.37, 119.44, 119.98 degrees
Closest atoms and distances in Å follow each position.
Element x y z (fractional)
Ba  0.4922  0.2489  0.7411  5 O 2.69-2.82
Ba  0.5078  0.7511  0.2589  5 O 2.69-2.82
O  0.0038  0.7867  0.3011  2 Bi 2.15-2.28
Bi  0.0000  0.0000  0.0000  6 O 2.28-2.29
O  0.9247  0.2581  0.1829  2 Bi 2.15-2.29
O  0.9962  0.2133  0.6989  2 Bi 2.15-2.28
Bi  0.0000  0.5000  0.5000  6 O 2.15
O  0.5144  0.2973  0.3011  2 Bi 2.15-2.28
O  0.0753  0.7419  0.8172  2 Bi 2.15-2.29
O  0.4856  0.7027  0.6989  2 Bi 2.15-2.28

## Properties
DFT total energy   -6.287 eV per atom
Energy relative to the elements, uncorrected   -1851 meV per atom
Space-group type   C2/m, No. 12



Entry 5:
Crystalline CaMg2Cu4 at its relaxed geometry. Source: Alexandria via LeMat-Bulk, functional GGA-PBEsol.

Cell lengths 5.3241, 5.3416, 5.3416 Å; angles 75.62, 60.11, 60.11 degrees
Closest atoms and distances in Å follow each position.
Element x y z (fractional)
Mg  0.2500  0.5000  0.5000  2 Mg 2.66, 8 Cu 2.74
Cu  0.3151  0.0000  0.3699  2 Cu 2.42
Ca  0.0000  0.0000  0.0000  12 Cu 2.92-3.17
Cu  0.6849  0.0000  0.6301  2 Cu 2.42
Mg  0.7500  0.5000  0.5000  2 Mg 2.66, 8 Cu 2.74
Cu  0.6849  0.6301  0.0000  2 Cu 2.42
Cu  0.3151  0.3699  0.0000  2 Cu 2.42

## Properties
DFT total energy   -3.320 eV per atom
Calculated formation energy   -0.05 eV/atom
Distance to the lowest polymorph of the same formula   23 meV/atom
Space-group type   I4/mmm, No. 139



Entry 6:
Crystalline TaTlW at its relaxed geometry. Source: Alexandria via LeMat-Bulk, functional GGA-PBEsol.

Cell lengths 2.8105, 4.3994, 5.0897 Å; angles 115.61, 106.03, 90.00 degrees
Closest atoms and distances in Å follow each position.
Element x y z (fractional)
W  0.3335  0.3335  0.6670  2 W 2.81, 5 Tl 2.92-2.99, 5 Ta 2.92-2.98
Ta  0.9990  0.9990  0.9980  2 Ta 2.81, 5 Tl 2.90-3.00, 5 W 2.92-2.98
Tl  0.6675  0.6675  0.3350  2 Tl 2.81, 5 Ta 2.90-3.00, 5 W 2.92-2.99

## Properties
DFT total energy   -9.056 eV per atom
Calculated formation energy   0.61 eV/atom
Distance to the lowest polymorph of the same formula   38 meV/atom
Space-group type   Imm2, No. 44



Entry 7:
Crystalline Sr2Li3TaN4 at its relaxed geometry. Source: Alexandria via LeMat-Bulk, functional GGA-PBEsol.

Cell lengths 6.9483, 8.6479, 8.9193 Å; angles 90.00, 90.00, 90.00 degrees
Closest atoms and distances in Å follow each position.
Element x y z (fractional)
Sr  0.5000  0.2591  0.2528  6 N 2.66-2.93, 3 Li 2.93-2.97
Ta  0.0000  0.7141  0.8629  4 N 1.95-1.98
N  0.5000  0.4265  0.7209  1 Ta 1.98, 3 Li 2.13-2.15
Li  0.0000  0.7948  0.5779  3 N 2.03-2.13
Li  0.7383  0.4804  0.8653  3 N 2.07-2.16
N  0.2354  0.3021  0.0183  1 Ta 1.95, 3 Li 2.03-2.16
N  0.5000  0.0460  0.7836  1 Ta 1.95
Sr  0.0000  0.2409  0.7528  6 N 2.66-2.93, 3 Li 2.93-2.97
N  0.2646  0.1979  0.5183  1 Ta 1.95, 3 Li 2.03-2.16
Li  0.5000  0.2948  0.9221  3 N 2.03-2.13
N  0.7354  0.1979  0.5183  1 Ta 1.95, 3 Li 2.03-2.16
Li  0.2617  0.4804  0.8653  3 N 2.07-2.16
N  0.0000  0.9265  0.7791  1 Ta 1.98, 3 Li 2.13-2.15
N  0.5000  0.5735  0.2791  1 Ta 1.98, 3 Li 2.13-2.15
Li  0.7383  0.5196  0.1347  3 N 2.07-2.16
Sr  0.7397  0.0000  0.0000  6 N 2.58-2.75
Sr  0.2603  0.0000  0.0000  6 N 2.58-2.75
N  0.7646  0.3021  0.0183  1 Ta 1.95, 3 Li 2.03-2.16
Ta  0.5000  0.2141  0.6371  4 N 1.95-1.98
N  0.7354  0.8021  0.4817  1 Ta 1.95, 3 Li 2.03-2.16
Li  0.7617  0.0196  0.3653  3 N 2.07-2.16
Li  0.7617  0.9804  0.6347  3 N 2.07-2.16
N  0.0000  0.0735  0.2209  1 Ta 1.98, 3 Li 2.13-2.15
N  0.0000  0.4540  0.2836  1 Ta 1.95
N  0.2646  0.8021  0.4817  1 Ta 1.95, 3 Li 2.03-2.16
Sr  0.7603  0.5000  0.5000  6 N 2.58-2.75
N  0.2354  0.6979  0.9817  1 Ta 1.95, 3 Li 2.03-2.16
N  0.0000  0.5460  0.7164  1 Ta 1.95
Li  0.2383  0.0196  0.3653  3 N 2.07-2.16
Li  0.2383  0.9804  0.6347  3 N 2.07-2.16
Li  0.5000  0.7052  0.0779  3 N 2.03-2.13
Ta  0.5000  0.7859  0.3629  4 N 1.95-1.98
Li  0.2617  0.5196  0.1347  3 N 2.07-2.16
Li  0.0000  0.2052  0.4221  3 N 2.03-2.13
Sr  0.5000  0.7409  0.7472  6 N 2.66-2.93, 3 Li 2.93-2.97
N  0.5000  0.9540  0.2164  1 Ta 1.95
N  0.7646  0.6979  0.9817  1 Ta 1.95, 3 Li 2.03-2.16
Sr  0.2397  0.5000  0.5000  6 N 2.58-2.75
Ta  0.0000  0.2859  0.1371  4 N 1.95-1.98
Sr  0.0000  0.7591  0.2472  6 N 2.66-2.93, 3 Li 2.93-2.97

## Properties
DFT total energy   -6.641 eV per atom
Energy relative to the elements, uncorrected   -1017 meV per atom
Space-group type   Pnnm, No. 58



Entry 8:
Crystalline KBaSe at its relaxed geometry. Source: Alexandria via LeMat-Bulk, functional GGA-PBEsol.

Cell lengths 5.4384, 5.4384, 5.4384 Å; angles 60.00, 60.00, 60.00 degrees
Closest atoms and distances in Å follow each position.
Element x y z (fractional)
K  0.5000  0.5000  0.5000  4 Se 3.33
Se  0.2500  0.2500  0.2500  4 Ba 3.33, 4 K 3.33
Ba  0.0000  0.0000  0.0000  4 Se 3.33

## Properties
DFT total energy   -3.457 eV per atom
Energy relative to the elements, uncorrected   -1080 meV per atom
Distance to the lowest polymorph of the same formula   0 meV/atom
Space-group type   F-43m, No. 216



What is the formula in the eighth record? KBaSe



What is the DFT total energy in the sixth record? -9.056 eV per atom



Which formula does entry 1 have? ZrMoSe3



The highest DFT total energy belongs to which entry? Sr2Li